VASP calculation (PBE-GGA) on a relaxed Mg2CrIr crystal.

Unit cell a=5.279 b=5.279 c=2.868 alpha=102.21 beta=102.21 gamma=117.69
Atoms (fractional coordinates):
Mg: 0.000 0.500 0.000
Mg: 0.500 0.000 0.000
Cr: 0.000 0.000 0.500
Ir: 0.500 0.500 0.500

Results
**Distance to the lowest polymorph of the same formula**: 178 meV/atom
**Final energy**: -21.1 eV/f.u.
**Space group**: C2/m, No. 12
**Crystal system**: monoclinic
**D(E_F)**: 2.74 states/eV/f.u.
**Formation energy from the elements**: 0.133 eV per atom